# 1
ZrSb2Au | GGA-PBEsol | optimized geometry

Lattice parameters (Å, degrees): 3.8449 3.8449 5.9266 90.00 90.00 90.00
Closest atoms and distances in Å follow each position.
Fractional positions:
Zr 0.0000 0.0000 0.0000  6 Sb 2.85-3.08
Sb 0.0000 0.0000 0.4802  2 Zr 2.85-3.08, 4 Au 2.92
Sb 0.5000 0.5000 0.8232  2 Au 2.82-3.11, 4 Zr 2.91
Au 0.5000 0.5000 0.2989  6 Sb 2.82-3.11

Output
Raw formation energy in kcal/mol of atoms: -9.51



# 2
Sc2Ru2W | GGA-PBEsol | optimized geometry

Lattice parameters (Å, degrees): 3.7832 3.7832 11.9726 90.00 90.00 90.00
Closest atoms and distances in Å follow each position.
Fractional positions:
Sc 0.0000 0.5000 0.2500  4 Ru 2.62, 4 Sc 2.68
Sc 0.0000 0.5000 0.7500  4 Ru 2.62, 4 Sc 2.68
Sc 0.5000 0.0000 0.2500  4 Ru 2.62, 4 Sc 2.68
Sc 0.5000 0.0000 0.7500  4 Ru 2.62, 4 Sc 2.68
Ru 0.0000 0.0000 0.0984  1 Ru 2.36, 4 Sc 2.62
Ru 0.0000 0.0000 0.9016  1 Ru 2.36, 4 Sc 2.62
Ru 0.5000 0.5000 0.4016  1 Ru 2.36, 4 Sc 2.62
Ru 0.5000 0.5000 0.5984  1 Ru 2.36, 4 Sc 2.62
W 0.0000 0.0000 0.5000  8 Ru 2.92
W 0.5000 0.5000 0.0000  8 Ru 2.92

Output
ΔE_f in eV/atom: 0.726



# 3
PbBrCl | GGA-PBEsol | optimized geometry

Lattice parameters (Å, degrees): 7.0333 7.0333 7.0333 90.00 90.00 90.00
Closest atoms and distances in Å follow each position.
Fractional positions:
Pb 0.0000 0.0000 0.0000  4 Cl 3.05
Pb 0.0000 0.5000 0.5000  4 Cl 3.05
Pb 0.5000 0.0000 0.5000  4 Cl 3.05
Pb 0.5000 0.5000 0.0000  4 Cl 3.05
Br 0.0000 0.0000 0.5000  4 Cl 3.05
Br 0.0000 0.5000 0.0000  4 Cl 3.05
Br 0.5000 0.0000 0.0000  4 Cl 3.05
Br 0.5000 0.5000 0.5000  4 Cl 3.05
Cl 0.2500 0.2500 0.2500  4 Pb 3.05, 4 Br 3.05
Cl 0.2500 0.7500 0.7500  4 Pb 3.05, 4 Br 3.05
Cl 0.7500 0.2500 0.7500  4 Pb 3.05, 4 Br 3.05
Cl 0.7500 0.7500 0.2500  4 Pb 3.05, 4 Br 3.05

Output
Raw formation energy in kcal/mol of atoms: -12.73



# 4
BaSrCo2H | GGA-PBEsol | optimized geometry

Lattice parameters (Å, degrees): 4.3834 4.3834 4.6512 90.00 90.00 90.00
Closest atoms and distances in Å follow each position.
Fractional positions:
Ba 0.0000 0.0000 0.0000  2 H 2.33
Sr 0.5000 0.5000 0.0000  4 Ba 3.10, 8 Co 3.20
Co 0.0000 0.5000 0.5000  2 H 2.19
Co 0.5000 0.0000 0.5000  2 H 2.19
H 0.0000 0.0000 0.5000  4 Co 2.19, 2 Ba 2.33

Output
Uncorrected energy in eV per formula unit: -18.786



# 5
SrZr2Tl | GGA-PBEsol | optimized geometry

Lattice parameters (Å, degrees): 3.3802 3.8896 8.1562 90.00 90.00 90.00
Closest atoms and distances in Å follow each position.
Fractional positions:
Sr 0.0000 0.0000 0.0000  2 Sr 3.38, 4 Tl 3.42, 4 Zr 3.68
Zr 0.0000 0.0000 0.4823  6 Zr 3.03-3.38, 4 Tl 3.08
Zr 0.5000 0.5000 0.6777  6 Zr 3.03-3.38, 1 Tl 3.28
Tl 0.5000 0.5000 0.2752  5 Zr 3.08-3.28, 2 Tl 3.38, 4 Sr 3.42

Output
ΔE_f in eV/atom: 0.045



# 6
LaIn | GGA-PBEsol | optimized geometry

Lattice parameters (Å, degrees): 3.6101 4.6671 6.7120 90.00 90.00 90.00
Closest atoms and distances in Å follow each position.
Fractional positions:
La 0.2500 0.2500 0.1196  6 In 3.35-3.43, 6 La 3.36-3.61
La 0.7500 0.7500 0.8804  6 In 3.35-3.43, 6 La 3.36-3.61
In 0.2500 0.2500 0.6195  6 La 3.35-3.43, 6 In 3.36-3.61
In 0.7500 0.7500 0.3805  6 La 3.35-3.43, 6 In 3.36-3.61

Output
ΔE_f in eV/atom: -0.281



Number 1: magnetization 0.000 μB per formula unit. Number 2: magnetization 0.003 μB per formula unit. Number 3: magnetization 0.000 μB per formula unit. Number 4: magnetization 1.257 μB per formula unit. Number 5: magnetization 0.000 μB per formula unit. Number 6: magnetization 0.000 μB per formula unit.